Entry from Alexandria: a relaxed structure of Na2TcCl5 (PBE).

Computed properties:
**Formation energy without anion corrections**: -1.1396 eV per atom
**E_tot**: -62.71 eV for the cell shown

a b c (Å): 5.217 7.197 12.682
angles (deg): 90.00 90.00 111.25
Last column: magnetic moment on the atom in μB.
Fractional coordinates of all 16 atoms:
Cl 0.057 0.113 0.381  0.04
Cl 0.304 0.608 0.750  0.05
Cl 0.696 0.392 0.250  0.05
Cl 0.943 0.887 0.881  0.04
Cl 0.307 0.614 0.111  0.02
Tc 0.182 0.365 0.250  2.43
Cl 0.693 0.386 0.889  0.02
Tc 0.818 0.635 0.750  2.43
Na 0.152 0.304 0.575  0.00
Cl 0.693 0.386 0.611  0.02
Cl 0.307 0.614 0.389  0.02
Na 0.152 0.304 0.925  0.00
Cl 0.943 0.887 0.619  0.04
Na 0.848 0.696 0.075  0.00
Cl 0.057 0.113 0.119  0.04
Na 0.848 0.696 0.425  0.00



Entry from Alexandria: a relaxed structure of TbScZn6 (PBE).

Computed properties:
**ΔH_f (0 K)**: -293 meV per atom
**E_tot**: -20.95 eV for the cell shown

a b c (Å): 4.259 5.883 5.760
angles (deg): 90.00 90.00 90.00
Fractional coordinates of all 8 atoms:
Zn 0.500 0.234 0.000
Zn 0.000 0.140 0.739
Tb 0.000 0.601 0.000
Zn 0.000 0.747 0.500
Zn 0.500 0.867 0.737
Sc 0.500 0.404 0.500
Zn 0.000 0.140 0.261
Zn 0.500 0.867 0.263



Entry from Alexandria: a relaxed structure of Rh3C2 (PBE).

Computed properties:
**ΔH_f (0 K)**: 494 meV per atom
**E_tot**: -38.03 eV for the cell shown

a b c (Å): 3.208 3.208 6.501
angles (deg): 90.00 90.00 120.00
Fractional coordinates of all 5 atoms:
C 0.667 0.333 0.209
Rh 0.333 0.667 0.328
C 0.333 0.667 0.791
Rh 0.667 0.333 0.672
Rh 0.000 0.000 0.000



Entry from Alexandria: a relaxed structure of HoPaCo4 (PBE).

Computed properties:
**ΔH_f (0 K)**: -250 meV per atom
**E_tot**: -44.00 eV for the cell shown

a b c (Å): 4.985 4.985 4.985
angles (deg): 60.00 60.00 60.00
Fractional coordinates of all 6 atoms:
Co 0.625 0.625 0.124
Co 0.625 0.124 0.625
Co 0.124 0.625 0.625
Co 0.625 0.625 0.625
Pa 0.250 0.250 0.250
Ho 0.000 0.000 0.000



Entry from Alexandria: a relaxed structure of K3Pu2SnS6 (PBE).

Computed properties:
**Formation energy without anion corrections**: -1.3349 eV per atom
**E_tot**: -76.74 eV for the cell shown

a b c (Å): 7.185 7.185 7.655
angles (deg): 99.01 99.01 119.97
Last column: magnetic moment on the atom in μB.
Fractional coordinates of all 12 atoms:
S 0.419 0.067 0.201  -0.10
S 0.067 0.419 0.201  -0.10
S 0.933 0.581 0.799  -0.10
K 0.500 0.500 0.500  0.00
K 0.161 0.839 0.500  0.00
S 0.285 0.285 0.800  -0.10
Pu 0.667 0.333 0.000  4.81
K 0.839 0.161 0.500  0.00
S 0.581 0.933 0.799  -0.10
Pu 0.333 0.667 0.000  4.81
Sn 0.000 0.000 0.000  -0.01
S 0.715 0.715 0.200  -0.10



Entry from Alexandria: a relaxed structure of Na4AuO (PBE).

Computed properties:
**Formation energy without anion corrections**: -0.5838 eV per atom
**E_tot**: -17.01 eV for the cell shown
**Energy above the most stable polymorph in this dataset**: 0.57 eV per formula unit

a b c (Å): 4.264 4.263 6.997
angles (deg): 89.96 89.98 90.00
Fractional coordinates of all 6 atoms:
Na 0.001 0.497 0.301
O 0.001 0.997 0.498
Na 0.502 0.998 0.695
Na 0.501 0.997 0.301
Na 0.001 0.498 0.695
Au 0.501 0.497 0.998



Entry from Alexandria: a relaxed structure of MgIrOs (PBE).

Computed properties:
**ΔH_f (0 K)**: 312 meV per atom
**E_tot**: -20.75 eV for the cell shown
**Energy above the most stable polymorph in this dataset**: 1.12 eV per formula unit

a b c (Å): 4.213 4.213 4.213
angles (deg): 60.00 60.00 60.00
Fractional coordinates of all 3 atoms:
Os 0.500 0.500 0.500
Ir 0.750 0.750 0.750
Mg 0.000 0.000 0.000



Entry from Alexandria: a relaxed structure of Al4W (PBE).

Computed properties:
**ΔH_f (0 K)**: 464 meV per atom
**E_tot**: -25.61 eV for the cell shown
**Energy above the most stable polymorph in this dataset**: 3.12 eV per formula unit

a b c (Å): 7.150 7.150 7.150
angles (deg): 151.23 151.23 41.13
Fractional coordinates of all 5 atoms:
W 0.000 0.000 0.000
Al 0.250 0.750 0.500
Al 0.407 0.407 0.000
Al 0.593 0.593 0.000
Al 0.750 0.250 0.500



Entry from Alexandria: a relaxed structure of Li2ErMg2 (PBE).

Computed properties:
**ΔH_f (0 K)**: 90 meV per atom
**E_tot**: -11.13 eV for the cell shown
**Energy above the most stable polymorph in this dataset**: 0.62 eV per formula unit

a b c (Å): 4.060 4.060 7.856
angles (deg): 104.97 104.97 90.00
Last column: magnetic moment on the atom in μB.
Fractional coordinates of all 5 atoms:
Er 0.000 0.000 0.000  0.11
Li 0.750 0.250 0.500  0.00
Mg 0.604 0.604 0.208  0.00
Li 0.250 0.750 0.500  0.00
Mg 0.396 0.396 0.792  0.00



Entry from Alexandria: a relaxed structure of TaZn4Ir (PBE).

Computed properties:
**ΔH_f (0 K)**: 12 meV per atom
**E_tot**: -25.74 eV for the cell shown

a b c (Å): 4.952 4.952 4.952
angles (deg): 60.00 60.00 60.00
Last column: magnetic moment on the atom in μB.
Fractional coordinates of all 6 atoms:
Zn 0.375 0.375 0.876  0.03
Zn 0.375 0.375 0.375  0.03
Ta 0.000 0.000 0.000  0.51
Zn 0.375 0.876 0.375  0.03
Zn 0.876 0.375 0.375  0.03
Ir 0.750 0.750 0.750  0.23



Entry from Alexandria: a relaxed structure of Ba2MnCo (PBE).

Computed properties:
**ΔH_f (0 K)**: 319 meV per atom
**E_tot**: -18.84 eV for the cell shown
**Energy above the most stable polymorph in this dataset**: 0.00 eV per formula unit

a b c (Å): 4.209 4.209 9.206
angles (deg): 76.46 76.46 60.05
Last column: magnetic moment on the atom in μB.
Fractional coordinates of all 4 atoms:
Mn 0.792 0.792 0.625  3.22
Co 0.458 0.458 0.625  0.64
Ba 0.037 0.037 0.884  -0.05
Ba 0.213 0.213 0.366  -0.05



Entry from Alexandria: a relaxed structure of La4Pr2Sm5 (PBE).

Computed properties:
**ΔH_f (0 K)**: 223 meV per atom
**E_tot**: -50.41 eV for the cell shown
**Energy above the most stable polymorph in this dataset**: 1.69 eV per formula unit

a b c (Å): 3.583 9.487 12.751
angles (deg): 111.84 98.08 90.00
Fractional coordinates of all 11 atoms:
La 0.000 0.708 0.000
Sm 0.146 0.340 0.292
Pr 0.271 0.271 0.542
Pr 0.729 0.729 0.458
Sm 0.854 0.048 0.708
La 0.000 0.292 0.000
Sm 0.146 0.952 0.292
La 0.593 0.593 0.187
La 0.407 0.407 0.813
Sm 0.854 0.660 0.708
Sm 0.500 0.000 0.000